# ThBiPb

A relaxed ThBiPb crystal (PBE-GGA, the Alexandria database).

Values from the calculation:
space-group type = No. 63
density of states at the Fermi level = 4.60 states/eV per cell
crystal system = orthorhombic
calculated formation energy = -370.4 meV/atom
energy above the most stable polymorph in this dataset = 17 meV per atom

Lattice parameters (Å, degrees): 8.895 8.895 4.725 90.00 90.00 150.45
Atoms (fractional coordinates):
Th (0.098, 0.902, 0.750)
Th (0.902, 0.098, 0.250)
Bi (0.425, 0.575, 0.750)
Bi (0.575, 0.425, 0.250)
Pb (0.249, 0.751, 0.250)
Pb (0.751, 0.249, 0.750)